(1)
A plane-wave DFT calculation with GGA-PBE was carried out for a relaxed ErBeAsO crystal.

```
ErBeAsO
1.0
3.065 0.000 0.000
0.000 5.433 0.000
0.000 0.000 6.949
As Be Er O
2 2 2 2
Cartesian
0.000 1.866 1.931 As
0.000 3.567 5.405 As
0.000 3.800 3.165 Be
0.000 1.633 6.640 Be
1.533 4.613 0.721 Er
1.533 0.820 4.196 Er
1.533 4.463 2.897 O
1.533 0.970 6.371 O
```

V, Å³ per atom: 14.5
E above lowest polymorph, eV/atom: 0.298

***

(2)
A plane-wave DFT calculation with GGA-PBE was carried out for a relaxed AgPdAu2 crystal.

```
AgPdAu2
1.0
0.000 3.254 3.254
3.254 0.000 3.254
3.254 3.254 0.000
Ag Au Pd
1 2 1
Cartesian
4.880 4.880 4.880 Ag
1.627 1.627 1.627 Au
3.254 3.254 3.254 Au
0.000 0.000 0.000 Pd
```

V, Å³ per atom: 17.2
E above lowest polymorph, eV/atom: 0.040

***

(3)
A plane-wave DFT calculation with GGA-PBE was carried out for a relaxed Dy3Si2Ni6 crystal.

```
Dy3Si2Ni6
1.0
-4.375 -4.375 4.375
-4.375 4.375 -4.375
4.375 -4.375 -4.375
Dy Ni Si
6 12 4
Cartesian
-2.495 0.000 0.000 Dy
-6.255 0.000 0.000 Dy
0.000 -2.495 0.000 Dy
0.000 0.000 -2.495 Dy
0.000 -6.255 0.000 Dy
0.000 0.000 -6.255 Dy
-4.375 -1.481 1.481 Ni
-4.375 1.481 -1.481 Ni
-1.481 -4.375 1.481 Ni
-2.894 -2.894 0.000 Ni
-2.894 0.000 -2.894 Ni
-1.481 1.481 -4.375 Ni
-4.375 -1.481 -1.481 Ni
0.000 -2.894 -2.894 Ni
1.481 -4.375 -1.481 Ni
1.481 -1.481 -4.375 Ni
-1.481 -4.375 -1.481 Ni
-1.481 -1.481 -4.375 Ni
-2.187 -2.187 2.187 Si
-2.187 2.187 -2.187 Si
2.187 -2.187 -2.187 Si
-2.187 -2.187 -2.187 Si
```

Total energy, eV per atom: -5.9411
V, Å³ per atom: 15.2

***

(4)
A plane-wave DFT calculation with GGA-PBE was carried out for a relaxed Nb2CuGe2Sb crystal.

```
Nb2CuGe2Sb
1.0
-0.137 -0.889 4.060
0.002 -4.062 -0.889
6.554 -0.043 0.211
Cu Ge Nb Sb
1 2 2 1
Cartesian
4.527 -0.030 0.146 Cu
1.997 -0.013 0.064 Ge
4.658 -2.507 1.738 Ge
6.407 -0.487 2.239 Nb
6.477 -2.074 -0.236 Nb
1.946 -2.489 1.650 Sb
```

Total energy, eV per atom: -6.1952
V, Å³ per atom: 18.9

***

(5)
A plane-wave DFT calculation with GGA-PBE was carried out for a relaxed ZnF2 crystal.

```
ZnF2
1.0
-2.896 -1.127 0.315
0.459 -0.148 3.683
-0.586 2.303 2.854
F Zn
2 1
Cartesian
-0.038 0.639 1.937 F
-1.521 0.668 3.894 F
-0.001 0.015 0.047 Zn
```

Total energy, eV per atom: -3.7201
V, Å³ per atom: 10.0

***

(6)
A plane-wave DFT calculation with GGA-PBE was carried out for a relaxed HfMg2Ge crystal.

```
HfMg2Ge
1.0
0.000 3.417 3.417
3.417 0.000 3.417
3.417 3.417 0.000
Ge Hf Mg
1 1 2
Cartesian
3.417 3.417 3.417 Ge
1.708 1.708 1.708 Hf
0.000 0.000 0.000 Mg
5.125 5.125 5.125 Mg
```

Total energy, eV per atom: -4.3163
V, Å³ per atom: 19.9

***

(7)
A plane-wave DFT calculation with GGA-PBE was carried out for a relaxed KSi5Os3 crystal.

```
KSi5Os3
1.0
-3.569 -1.834 3.441
5.134 -0.010 1.259
-0.752 7.324 3.124
K Os Si
1 3 5
Cartesian
0.000 0.000 0.000 K
-2.160 2.745 3.283 Os
2.191 3.657 2.192 Os
0.407 2.740 3.912 Os
-0.858 0.623 3.502 Si
2.043 1.231 2.775 Si
-0.376 3.662 1.562 Si
-1.230 4.249 5.049 Si
1.671 4.857 4.322 Si
```

Total energy, eV per atom: -6.5719
V, Å³ per atom: 21.5

***

(8)
A plane-wave DFT calculation with GGA-PBE was carried out for a relaxed CsZrIO3F4 crystal.

```
CsZrIO3F4
1.0
-3.722 5.518 3.912
3.722 -5.518 3.912
3.722 5.518 -3.912
Cs F I O Zr
2 8 2 6 2
Cartesian
-1.861 3.949 3.574 Cs
5.582 1.570 -0.338 Cs
-0.374 1.537 4.864 F
1.861 -0.836 2.645 F
1.861 0.622 4.453 F
-0.374 3.981 0.952 F
0.374 7.055 0.952 F
1.861 4.896 0.541 F
1.861 6.354 -1.267 F
4.096 3.981 0.952 F
1.861 2.495 1.464 I
1.861 3.023 5.376 I
0.460 1.468 2.069 O
1.861 1.814 -0.236 O
4.181 -1.468 2.069 O
3.262 1.468 2.069 O
1.861 3.704 3.676 O
3.262 4.050 -1.843 O
0.000 0.000 3.528 Zr
3.722 0.000 3.528 Zr
```

Total energy, eV per atom: -5.6709
V, Å³ per atom: 16.1

***

(9)
A plane-wave DFT calculation with GGA-PBE was carried out for a relaxed Re2O5 crystal.

```
Re2O5
1.0
-5.484 3.301 1.004
-6.217 0.596 -1.726
-0.979 -2.445 2.685
O Re
5 2
Cartesian
-9.932 3.302 -0.607 O
-8.467 1.442 0.843 O
-0.489 -1.223 1.343 O
-4.213 0.010 1.120 O
-2.748 -1.850 2.570 O
-2.232 -0.637 1.229 Re
-10.448 2.089 0.733 Re
```

V, Å³ per atom: 13.0
E above lowest polymorph, eV/atom: 0.000

***

(10)
A plane-wave DFT calculation with GGA-PBE was carried out for a relaxed TmAg3Pd4O12 crystal.

```
TmAg3Pd4O12
1.0
-1.247 -6.452 -1.072
-2.436 1.775 5.937
-2.894 3.641 -4.764
Ag O Pd Tm
3 12 4 1
Cartesian
-1.841 -2.339 2.433 Ag
-2.070 -1.405 -2.918 Ag
-2.665 2.708 0.586 Ag
-2.724 0.067 4.077 O
-1.743 -1.804 0.411 O
-3.325 -3.814 2.501 O
-2.150 -4.125 -1.552 O
-2.136 0.762 1.149 O
-2.073 0.105 -1.468 O
-4.504 -1.141 1.569 O
-4.440 -1.798 -1.048 O
-4.426 3.089 1.653 O
-3.251 2.778 -2.400 O
-4.833 0.768 -0.310 O
-3.852 -1.103 -3.976 O
-0.623 -3.226 -0.536 Pd
-1.218 0.887 2.969 Pd
-1.447 1.821 -2.382 Pd
-3.288 -0.518 0.050 Pd
0.000 0.000 0.000 Tm
```

Total energy, eV per atom: -5.2830
V, Å³ per atom: 11.4

***

(11)
A plane-wave DFT calculation with GGA-PBE was carried out for a relaxed ErLu2 crystal.

```
ErLu2
1.0
-0.444 -0.166 6.404
-5.643 1.110 2.857
-3.142 -4.805 2.877
Er Lu
2 4
Cartesian
0.000 0.000 0.000 Er
-2.307 -0.965 3.035 Er
-4.197 -0.011 6.148 Lu
-2.946 -2.968 6.158 Lu
-5.546 -2.330 4.384 Lu
-5.768 -2.413 7.586 Lu
```

V, Å³ per atom: 31.2
E above lowest polymorph, eV/atom: 0.000

***

(12)
A plane-wave DFT calculation with GGA-PBE was carried out for a relaxed IrOF2 crystal.

```
IrOF2
1.0
4.920 0.000 0.000
0.000 7.169 0.000
0.000 0.000 4.960
F Ir O
8 4 4
Cartesian
0.715 2.860 1.871 F
3.175 4.309 1.871 F
3.227 1.897 2.099 F
0.767 5.272 2.099 F
1.745 2.860 4.351 F
4.205 4.309 4.351 F
4.154 1.897 4.580 F
1.694 5.272 4.580 F
0.049 1.177 1.319 Ir
2.509 5.992 1.319 Ir
2.412 1.177 3.799 Ir
4.872 5.992 3.799 Ir
1.725 0.514 0.574 O
4.186 6.655 0.574 O
0.735 0.514 3.054 O
3.195 6.655 3.054 O
```

V, Å³ per atom: 10.9
E above lowest polymorph, eV/atom: 0.000

***

- Among the records above, which one has the highest V?
  ErLu2

***

- Look up the V of the eighth one.
  16.1 Å³ per atom

***

- What is the V in the first record?
  14.5 Å³ per atom